(1)
Entry from Alexandria: a geometry-optimized LaPu2Ga6 structure (GGA-PBE).

abc: 7.6830 7.6830 7.6830
angles: 146.05 123.36 67.70
With the nearest neighbours (Å) after each atom.
Fractional positions:
La: 0.0000 0.0000 0.0000  4 Ga 3.21
Pu: 0.3824 0.8824 0.5000  6 Ga 2.86-3.02, 1 Pu 3.00
Pu: 0.6176 0.1176 0.5000  6 Ga 2.86-3.02, 1 Pu 3.00
Ga: 0.0095 0.3113 0.6982  3 Ga 2.55-2.84
Ga: 0.3148 0.5000 0.8148  3 Ga 2.55-2.70
Ga: 0.3869 0.6887 0.6982  3 Ga 2.55-2.84
Ga: 0.6131 0.3113 0.3018  3 Ga 2.55-2.84
Ga: 0.6852 0.5000 0.1852  3 Ga 2.55-2.70
Ga: 0.9905 0.6887 0.3018  3 Ga 2.55-2.84

Calculated values
As for the crystal system: orthorhombic. For the volume, the calculation gives 23.2 A^3/atom. As for the relative energy among the computed polymorphs: 0.110 eV/atom. As for the formation energy: -0.327 eV/atom. The energy is -0.4466 Ry/atom.

=====

(2)
Entry from Alexandria: a geometry-optimized TbNi3Pt structure (GGA-PBE).

abc: 6.2391 6.2391 6.2391
angles: 134.78 111.65 85.79
With the nearest neighbours (Å) after each atom.
Fractional positions:
Tb: 0.2503 0.0003 0.2500  7 Ni 2.73-3.02, 4 Pt 2.97
Tb: 0.7497 0.9997 0.7500  7 Ni 2.73-3.02, 4 Pt 2.97
Ni: 0.1986 0.0000 0.6986  4 Ni 2.40-2.47, 2 Pt 2.61
Ni: 0.1986 0.5000 0.1986  4 Ni 2.40-2.47, 2 Pt 2.61
Ni: 0.4509 0.7009 0.7500  6 Ni 2.47-2.56, 2 Pt 2.54, 1 Tb 2.73
Ni: 0.5491 0.2991 0.2500  6 Ni 2.47-2.56, 2 Pt 2.54, 1 Tb 2.73
Ni: 0.8014 0.0000 0.3014  4 Ni 2.40-2.47, 2 Pt 2.61
Ni: 0.8014 0.5000 0.8014  4 Ni 2.40-2.47, 2 Pt 2.61
Pt: 0.0000 0.5000 0.5000  6 Ni 2.54-2.61
Pt: 0.5000 0.5000 0.0000  6 Ni 2.54-2.61

Calculated values
As for the crystal system: orthorhombic. For the volume, the calculation gives 15.4 A^3/atom. As for the formation energy: -0.423 eV/atom. The energy is -0.4429 Ry/atom.

=====

(3)
Entry from Alexandria: a geometry-optimized Ta2CuCl8 structure (GGA-PBE).

abc: 7.6051 7.6051 7.0155
angles: 107.22 107.22 51.16
With the nearest neighbours (Å) after each atom.
Fractional positions:
Ta: 0.2472 0.2472 0.0065  6 Cl 2.30-2.50
Ta: 0.7528 0.7528 0.9935  6 Cl 2.30-2.50
Cu: 0.5000 0.5000 0.0000  2 Cl 2.14
Cl: 0.1172 0.6175 0.2318  2 Ta 2.49-2.50
Cl: 0.1412 0.1412 0.2024  1 Ta 2.30
Cl: 0.3509 0.3509 0.7738  1 Cu 2.14
Cl: 0.3825 0.8828 0.7682  2 Ta 2.49-2.50
Cl: 0.6175 0.1172 0.2318  2 Ta 2.49-2.50
Cl: 0.6491 0.6491 0.2262  1 Cu 2.14
Cl: 0.8588 0.8588 0.7976  1 Ta 2.30
Cl: 0.8828 0.3825 0.7682  2 Ta 2.49-2.50

Calculated values
As for the crystal system: monoclinic. For the volume, the calculation gives 27.1 A^3/atom. The energy is -0.3587 Ry/atom. Its uncorrected formation energy is -11.1 eV/f.u.

=====

(4)
Entry from Alexandria: a geometry-optimized Cu2SiBN structure (GGA-PBE).

abc: 4.7845 4.7845 2.6326
angles: 90.00 90.00 90.00
With the nearest neighbours (Å) after each atom.
Fractional positions:
Cu: 0.0000 0.5000 0.0000  2 B 2.39, 2 Cu 2.63
Cu: 0.5000 0.0000 0.0000  2 B 2.39, 2 Cu 2.63
Si: 0.0000 0.0000 0.5000  2 Si 2.63, 8 Cu 2.73
B: 0.5000 0.5000 0.0000  2 N 1.32
N: 0.5000 0.5000 0.5000  2 B 1.32

Calculated values
As for the crystal system: tetragonal. For the volume, the calculation gives 12.1 A^3/atom. The energy is -0.3921 Ry/atom. Its uncorrected formation energy is 1.9 eV/f.u.

=====

(5)
Entry from Alexandria: a geometry-optimized HfCdCuW2 structure (GGA-PBE).

abc: 4.8734 4.8734 5.0380
angles: 90.00 90.00 90.00
With the nearest neighbours (Å) after each atom.
Fractional positions:
Hf: 0.0000 0.0000 0.0000  2 Cd 2.52
Cd: 0.0000 0.0000 0.5000  4 W 2.44, 2 Hf 2.52
Cu: 0.5000 0.5000 0.0000  4 Hf 3.45, 8 W 3.50
W: 0.0000 0.5000 0.5000  2 Cd 2.44
W: 0.5000 0.0000 0.5000  2 Cd 2.44

Calculated values
As for the crystal system: tetragonal. For the volume, the calculation gives 23.9 A^3/atom. As for the formation energy: 2.629 eV/atom. The energy is -0.4076 Ry/atom.

=====

(6)
Entry from Alexandria: a geometry-optimized Er2Al5Pt structure (GGA-PBE).

abc: 5.9497 5.9497 5.9497
angles: 120.18 120.18 89.69
With the nearest neighbours (Å) after each atom.
Fractional positions:
Er: 0.0000 0.5000 0.5000  10 Al 2.97, 2 Pt 2.97
Er: 0.5000 0.0000 0.5000  10 Al 2.97, 2 Pt 2.97
Al: 0.0000 0.0000 0.0000  4 Er 2.97, 8 Al 2.97
Al: 0.0000 0.0000 0.5000  6 Al 2.97, 4 Er 2.97, 2 Pt 2.97
Al: 0.0000 0.5000 0.0000  6 Al 2.97, 4 Er 2.97, 2 Pt 2.97
Al: 0.5000 0.0000 0.0000  6 Al 2.97, 4 Er 2.97, 2 Pt 2.97
Al: 0.5000 0.5000 0.5000  6 Al 2.97, 4 Er 2.97, 2 Pt 2.97
Pt: 0.5000 0.5000 0.0000  4 Er 2.97, 8 Al 2.97

Calculated values
As for the crystal system: tetragonal. For the volume, the calculation gives 18.6 A^3/atom. As for the formation energy: -0.566 eV/atom. The energy is -0.3528 Ry/atom.

=====

(7)
Entry from Alexandria: a geometry-optimized Th6OsSe3S2 structure (GGA-PBE).

abc: 9.4452 9.4452 8.5416
angles: 105.11 105.11 24.84
With the nearest neighbours (Å) after each atom.
Fractional positions:
Th: 0.0039 0.0039 0.2296  2 Os 2.81, 1 S 2.91, 3 Se 3.05-3.09
Th: 0.3283 0.3283 0.4264  3 S 2.86, 3 Se 3.03-3.06
Th: 0.3374 0.3374 0.9036  2 S 2.87, 1 Os 2.89, 3 Se 3.04
Th: 0.6626 0.6626 0.0964  2 S 2.87, 1 Os 2.89, 3 Se 3.04
Th: 0.6717 0.6717 0.5736  3 S 2.86, 3 Se 3.03-3.06
Th: 0.9961 0.9961 0.7704  2 Os 2.81, 1 S 2.91, 3 Se 3.05-3.09
Os: 0.5000 0.5000 0.0000  6 Th 2.81-2.89
Se: 0.1667 0.1667 0.8342  6 Th 3.03-3.05
Se: 0.5000 0.5000 0.5000  6 Th 3.06-3.09
Se: 0.8333 0.8333 0.1658  6 Th 3.03-3.05
S: 0.1674 0.1674 0.3364  6 Th 2.86-2.91
S: 0.8326 0.8326 0.6636  6 Th 2.86-2.91

Calculated values
As for the crystal system: monoclinic. For the volume, the calculation gives 25.7 A^3/atom. The energy is -0.5633 Ry/atom. Its uncorrected formation energy is -17.5 eV/f.u.

=====

(8)
Entry from Alexandria: a geometry-optimized YCuH6Ir2 structure (GGA-PBE).

abc: 5.9697 5.9697 5.3524
angles: 101.09 101.09 95.94
With the nearest neighbours (Å) after each atom.
Fractional positions:
Y: 0.1818 0.8182 0.7500  10 H 2.35-2.42
Y: 0.8182 0.1818 0.2500  10 H 2.35-2.42
Cu: 0.3996 0.6004 0.2500  6 H 1.88-2.08
Cu: 0.6004 0.3996 0.7500  6 H 1.88-2.08
H: 0.0865 0.5367 0.3579  1 Ir 1.63
H: 0.1478 0.1516 0.5628  2 Ir 1.76-1.82
H: 0.1516 0.1478 0.0628  2 Ir 1.76-1.82
H: 0.3292 0.4909 0.8867  1 Ir 1.70, 1 Cu 1.88
H: 0.4633 0.9135 0.1421  1 Ir 1.63
H: 0.4909 0.3292 0.3867  1 Ir 1.70, 1 Cu 1.88
H: 0.5091 0.6708 0.6133  1 Ir 1.70, 1 Cu 1.88
H: 0.5367 0.0865 0.8579  1 Ir 1.63
H: 0.6708 0.5091 0.1133  1 Ir 1.70, 1 Cu 1.88
H: 0.8484 0.8522 0.9372  2 Ir 1.76-1.82
H: 0.8522 0.8484 0.4372  2 Ir 1.76-1.82
H: 0.9135 0.4633 0.6421  1 Ir 1.63
Ir: 0.0673 0.3242 0.8277  3 H 1.63-1.76
Ir: 0.3242 0.0673 0.3277  3 H 1.63-1.76
Ir: 0.6758 0.9327 0.6723  3 H 1.63-1.76
Ir: 0.9327 0.6758 0.1723  3 H 1.63-1.76

Calculated values
As for the crystal system: monoclinic. For the volume, the calculation gives 9.1 A^3/atom. The energy is -0.3738 Ry/atom.

=====

(9)
Entry from Alexandria: a geometry-optimized AcYW2N6 structure (GGA-PBE).

abc: 7.3964 7.3964 6.1954
angles: 102.23 102.23 85.83
With the nearest neighbours (Å) after each atom.
Fractional positions:
Ac: 0.1897 0.8103 0.7500  6 N 2.61-2.85
Ac: 0.8103 0.1897 0.2500  6 N 2.61-2.85
Y: 0.4121 0.5879 0.2500  6 N 2.36-2.43
Y: 0.5879 0.4121 0.7500  6 N 2.36-2.43
W: 0.1222 0.3028 0.7747  4 N 1.81-1.94
W: 0.3028 0.1222 0.2747  4 N 1.81-1.94
W: 0.6972 0.8778 0.7253  4 N 1.81-1.94
W: 0.8778 0.6972 0.2253  4 N 1.81-1.94
N: 0.1093 0.6114 0.3238  1 W 1.81
N: 0.1279 0.1664 0.0121  2 W 1.92-1.94
N: 0.1664 0.1279 0.5121  2 W 1.92-1.94
N: 0.2914 0.4917 0.8616  1 W 1.86
N: 0.3886 0.8907 0.1762  1 W 1.81
N: 0.4917 0.2914 0.3616  1 W 1.86
N: 0.5083 0.7086 0.6384  1 W 1.86
N: 0.6114 0.1093 0.8238  1 W 1.81
N: 0.7086 0.5083 0.1384  1 W 1.86
N: 0.8336 0.8721 0.4879  2 W 1.92-1.94
N: 0.8721 0.8336 0.9879  2 W 1.92-1.94
N: 0.8907 0.3886 0.6762  1 W 1.81

Calculated values
As for the crystal system: monoclinic. For the volume, the calculation gives 16.2 A^3/atom. The energy is -0.7109 Ry/atom. Its uncorrected formation energy is -10.3 eV/f.u.

=====

(10)
Entry from Alexandria: a geometry-optimized Ba2PrRu3O12 structure (GGA-PBE).

abc: 6.8958 6.8958 6.8958
angles: 64.81 64.81 64.81
With the nearest neighbours (Å) after each atom.
Fractional positions:
Ba: 0.1096 0.1096 0.1096  3 O 2.58
Ba: 0.8904 0.8904 0.8904  3 O 2.58
Pr: 0.5000 0.5000 0.5000  6 O 2.54
Ru: 0.0000 0.5000 0.5000  6 O 1.88-1.97
Ru: 0.5000 0.0000 0.5000  6 O 1.88-1.97
Ru: 0.5000 0.5000 0.0000  6 O 1.88-1.97
O: 0.0737 0.6348 0.6348  1 Ru 1.88
O: 0.2230 0.2230 0.6123  2 Ru 1.97
O: 0.2230 0.6123 0.2230  2 Ru 1.97
O: 0.3652 0.3652 0.9263  1 Ru 1.88
O: 0.3652 0.9263 0.3652  1 Ru 1.88
O: 0.3877 0.7770 0.7770  2 Ru 1.97
O: 0.6123 0.2230 0.2230  2 Ru 1.97
O: 0.6348 0.0737 0.6348  1 Ru 1.88
O: 0.6348 0.6348 0.0737  1 Ru 1.88
O: 0.7770 0.3877 0.7770  2 Ru 1.97
O: 0.7770 0.7770 0.3877  2 Ru 1.97
O: 0.9263 0.3652 0.3652  1 Ru 1.88

Calculated values
As for the crystal system: trigonal. For the volume, the calculation gives 14.2 A^3/atom. The energy is -0.5110 Ry/atom. Its uncorrected formation energy is -29.2 eV/f.u.

=====

(11)
Entry from Alexandria: a geometry-optimized Sr2MnFe structure (GGA-PBE).

abc: 5.8843 5.8843 5.8843
angles: 132.60 132.60 69.29
With the nearest neighbours (Å) after each atom.
Fractional positions:
Sr: 0.0000 0.0000 0.0000  4 Mn 3.35, 4 Fe 3.38, 4 Sr 3.38
Sr: 0.7500 0.2500 0.5000  4 Fe 3.35, 4 Mn 3.38, 4 Sr 3.38
Mn: 0.5000 0.5000 0.0000  8 Sr 3.35-3.38, 4 Fe 3.38
Fe: 0.2500 0.7500 0.5000  8 Sr 3.35-3.38, 4 Mn 3.38

Calculated values
As for the crystal system: tetragonal. For the volume, the calculation gives 27.1 A^3/atom. As for the relative energy among the computed polymorphs: 0.454 eV/atom. As for the formation energy: 0.817 eV/atom. The energy is -0.3257 Ry/atom.

=====

(12)
Entry from Alexandria: a geometry-optimized MgTaP structure (GGA-PBE).

abc: 4.2249 4.2249 3.5435
angles: 90.00 90.00 120.00
With the nearest neighbours (Å) after each atom.
Fractional positions:
Mg: 0.0000 0.0000 0.0000  6 Ta 3.01, 6 P 3.01
Ta: 0.6667 0.3333 0.5000  3 P 2.44
P: 0.3333 0.6667 0.5000  3 Ta 2.44

Calculated values
As for the crystal system: hexagonal. For the volume, the calculation gives 18.3 A^3/atom. As for the relative energy among the computed polymorphs: 0.219 eV/atom. As for the formation energy: -0.042 eV/atom. The energy is -0.4651 Ry/atom.

=====

- Look up the volume of the twelfth one.
  18.3 A^3/atom

=====

- volume of number 10 (Ba2PrRu3O12)?
  14.2 A^3/atom